Here is crystalline Mg3CoO4 at its relaxed geometry from the Alexandria database. Energies are from PBE with a Hubbard U.

Computed properties:
- Fermi-level density of states (states/eV/f.u.) = 0.00
- space-group type = I4/mmm (139)
- final energy (eV/atom) = -5.99

Cell: 4.2381 4.2381 8.6324 Å, 90.00 90.00 90.00°
Positions (direct):
1 Mg 0.0000 0.0000 0.0000
2 Mg 0.0000 0.5000 0.2500
3 Mg 0.0000 0.5000 0.7500
4 Mg 0.5000 0.0000 0.2500
5 Mg 0.5000 0.0000 0.7500
6 Mg 0.5000 0.5000 0.5000
7 Co 0.0000 0.0000 0.5000
8 Co 0.5000 0.5000 0.0000
9 O 0.0000 0.0000 0.2433
10 O 0.0000 0.0000 0.7567
11 O 0.0000 0.5000 0.0000
12 O 0.0000 0.5000 0.5000
13 O 0.5000 0.0000 0.0000
14 O 0.5000 0.0000 0.5000
15 O 0.5000 0.5000 0.2567
16 O 0.5000 0.5000 0.7433